1.
7
Lattice="2.3702 1.3684 7.5365 -2.3702 1.3684 7.5365 0.0000 -2.7369 7.5365" Properties=species:S:1:pos:R:3 comment="Sc4Zn2Ag PBE optimized geometry" ef_mev_per_atom=-153.3 crystal_system=trigonal spacegroup="R-3m (166)" final_energy_ry_per_atom=-0.3339 pbc="T T T"
Sc 0.0000 0.0000 2.6155
Sc 0.0000 0.0000 8.3460
Sc 0.0000 0.0000 14.2634
Sc 0.0000 0.0000 19.9939
Zn 0.0000 0.0000 5.5606
Zn 0.0000 0.0000 17.0488
Ag 0.0000 0.0000 11.3047

=====

2.
4
Lattice="1.7787 1.0269 12.2058 -1.7787 1.0269 12.2058 0.0000 -2.0538 12.2058" Properties=species:S:1:pos:R:3 comment="Pm2LuTl PBE optimized geometry" ef_mev_per_atom=77.0 e_above_lowest_polymorph_mev_per_atom=262 crystal_system=trigonal spacegroup="R-3m (166)" final_energy_ry_per_atom=-0.2955 pbc="T T T"
Pm 0.0000 0.0000 3.2820
Pm 0.0000 0.0000 33.3353
Lu 0.0000 0.0000 18.3086
Tl 0.0000 0.0000 0.0000

=====

3.
5
Lattice="5.0021 0.0000 0.0000 0.0000 5.0021 0.0000 0.0000 0.0000 5.0021" Properties=species:S:1:pos:R:3 comment="LaSnS3 PBE optimized geometry" raw_formation_energy_mev_per_atom=-847.5 e_above_lowest_polymorph_mev_per_atom=391 crystal_system=cubic spacegroup="Pm-3m (221)" final_energy_ry_per_atom=-0.3756 pbc="T T T"
La 0.0000 0.0000 0.0000
Sn 2.5011 2.5011 2.5011
S 0.0000 2.5011 2.5011
S 2.5011 0.0000 2.5011
S 2.5011 2.5011 0.0000

=====

4.
11
Lattice="6.9115 -4.3744 0.0000 6.9115 4.3744 0.0000 -3.5969 0.0000 8.8100" Properties=species:S:1:pos:R:3 comment="Cs2CaGa2I6 PBE optimized geometry" raw_formation_energy_mev_per_atom=-1091.0 crystal_system=monoclinic spacegroup="C2/m (12)" final_energy_ry_per_atom=-0.2076 pbc="T T T"
Cs 2.2517 0.0000 1.3277
Cs 7.9745 0.0000 7.4823
Ca -1.7984 0.0000 4.4050
Ga 2.8050 0.0000 7.4458
Ga 7.4211 0.0000 1.3641
I 5.4933 2.2479 1.9865
I 1.2369 0.0000 4.9270
I 4.7328 2.2479 6.8235
I 5.4933 -2.2479 1.9865
I 8.9892 0.0000 3.8830
I 4.7328 -2.2479 6.8235

=====

5.
9
Lattice="8.0312 0.0000 0.0000 -4.0156 6.9552 0.0000 0.0000 0.0000 3.7586" Properties=species:S:1:pos:R:3 comment="AcPr2Zn6 PBE optimized geometry" ef_mev_per_atom=-318.0 crystal_system=hexagonal spacegroup="P6/mmm (191)" final_energy_ry_per_atom=-0.1974 pbc="T T T"
Ac 0.0000 0.0000 0.0000
Pr 0.0000 4.6368 0.0000
Pr 4.0156 2.3184 0.0000
Zn -1.3618 2.3587 1.8793
Zn -2.6538 4.5966 1.8793
Zn 2.7235 0.0000 1.8793
Zn 1.3618 2.3587 1.8793
Zn 5.3077 0.0000 1.8793
Zn 2.6538 4.5966 1.8793

=====

6.
12
Lattice="2.8211 -4.8844 0.0000 2.8211 4.8844 0.0000 -1.8832 0.0000 5.5891" Properties=species:S:1:pos:R:3 comment="Ca3Hf2NbN6 PBE optimized geometry" raw_formation_energy_mev_per_atom=-1442.7 crystal_system=monoclinic spacegroup="C2/m (12)" final_energy_ry_per_atom=-0.6324 pbc="T T T"
Ca 0.0000 0.0000 0.0000
Ca 2.8211 1.6226 0.0000
Ca 2.8211 -1.6226 0.0000
Hf 1.8795 3.2563 2.7945
Hf 1.8795 -3.2563 2.7945
Nb 1.8795 0.0000 2.7945
N 0.9519 1.6067 1.6042
N 0.0234 0.0000 3.9860
N 0.9519 -1.6067 1.6042
N 2.8071 1.6067 3.9849
N 3.7357 0.0000 1.6031
N 2.8071 -1.6067 3.9849

=====

7.
5
Lattice="-2.3277 2.3277 5.3196 2.3277 -2.3277 5.3196 2.3277 2.3277 -5.3196" Properties=species:S:1:pos:R:3 comment="BiSb2N2 PBE optimized geometry" raw_formation_energy_mev_per_atom=889.9 e_above_lowest_polymorph_mev_per_atom=75 crystal_system=tetragonal spacegroup="I4/mmm (139)" final_energy_ry_per_atom=-0.3576 pbc="T T T"
Bi 0.0000 0.0000 0.0000
Sb 2.3277 0.0000 2.6598
Sb 0.0000 2.3277 2.6598
N 0.0000 0.0000 2.5489
N 0.0000 0.0000 8.0904

=====

8.
5
Lattice="5.9307 0.0000 0.0000 0.0000 5.9307 0.0000 0.0000 0.0000 5.7616" Properties=species:S:1:pos:R:3 comment="KTl2InSb PBE optimized geometry" raw_formation_energy_mev_per_atom=71.9 crystal_system=tetragonal spacegroup="P4/mmm (123)" final_energy_ry_per_atom=-0.1813 pbc="T T T"
K 0.0000 0.0000 0.0000
Tl 0.0000 2.9654 2.8808
Tl 2.9654 0.0000 2.8808
In 2.9654 2.9654 2.8808
Sb 2.9654 2.9654 0.0000

=====

9.
12
Lattice="2.8367 -7.8150 0.0000 2.8367 7.8150 0.0000 0.0000 0.0000 5.7096" Properties=species:S:1:pos:R:3 comment="PrGaSiPt3 PBE optimized geometry" raw_formation_energy_mev_per_atom=-836.0 crystal_system=orthorhombic spacegroup="Cmcm (63)" final_energy_ry_per_atom=-0.4455 pbc="T T T"
Pr 2.8367 4.8750 4.2822
Pr 2.8367 -4.8750 1.4274
Ga 2.8367 6.2330 1.4274
Ga 2.8367 -6.2330 4.2822
Si 2.8367 1.3621 1.4274
Si 2.8367 -1.3621 4.2822
Pt 1.4228 0.0000 0.0000
Pt 1.4228 0.0000 2.8548
Pt 2.8367 3.7333 1.4274
Pt 2.8367 -3.7333 4.2822
Pt 4.2506 0.0000 0.0000
Pt 4.2506 0.0000 2.8548

=====

10.
4
Lattice="0.0000 3.4205 3.4205 3.4205 0.0000 3.4205 3.4205 3.4205 0.0000" Properties=species:S:1:pos:R:3 comment="NaYSbRh PBE optimized geometry" raw_formation_energy_mev_per_atom=-590.8 crystal_system=cubic spacegroup="F-43m (216)" final_energy_ry_per_atom=-0.3973 pbc="T T T"
Na 0.0000 0.0000 0.0000
Y 1.7103 1.7103 1.7103
Sb 5.1308 5.1308 5.1308
Rh 3.4205 3.4205 3.4205

=====

11.
4
Lattice="1.5801 -2.8999 0.0000 1.5801 2.8999 0.0000 0.0000 0.0000 7.7215" Properties=species:S:1:pos:R:3 comment="TlNi2Cl PBE optimized geometry" raw_formation_energy_mev_per_atom=344.8 e_above_lowest_polymorph_mev_per_atom=270 crystal_system=orthorhombic spacegroup="Cmmm (65)" final_energy_ry_per_atom=-0.2645 pbc="T T T"
Tl 0.0000 0.0000 0.0000
Ni 1.5801 0.0000 2.0790
Ni 1.5801 0.0000 5.6425
Cl 0.0000 0.0000 3.8607

=====

12.
8
Lattice="-5.0915 5.0915 1.3825 5.0915 -5.0915 1.3825 5.0915 5.0915 -1.3825" Properties=species:S:1:pos:R:3 comment="NbPd PBE optimized geometry" ef_mev_per_atom=4.8 crystal_system=tetragonal spacegroup="I4/m (87)" final_energy_ry_per_atom=-0.5605 pbc="T T T"
Nb 3.5959 1.0661 0.0000
Nb 4.0254 -1.4956 1.3825
Nb 1.0661 6.5872 0.0000
Nb 1.4956 4.0254 1.3825
Pd 8.5142 0.9694 0.0000
Pd 0.9694 1.6689 0.0000
Pd 4.1221 3.4227 1.3825
Pd -3.4227 4.1221 1.3825